(1)
A plane-wave DFT calculation with SCAN was carried out for a crystal of LaTlHg relaxed with PBEsol.

Summary:
Spin magnetization: 0.0 μB per cell
ΔE_f: -0.645 eV/atom

```
LaTlHg
1.0
7.069 0.000 0.000
0.000 7.069 0.000
0.000 0.000 7.069
La Tl Hg
4 4 4
Direct
0.000 0.000 0.000
0.000 0.500 0.500
0.500 0.000 0.500
0.500 0.500 0.000
0.000 0.000 0.500
0.000 0.500 0.000
0.500 0.000 0.000
0.500 0.500 0.500
0.250 0.250 0.250
0.250 0.750 0.750
0.750 0.250 0.750
0.750 0.750 0.250
```


(2)
A plane-wave DFT calculation with SCAN was carried out for a crystal of LaTl2Hg relaxed with PBEsol.

Summary:
Spin magnetization: 0.0 μB per cell
ΔE_f: -0.454 eV/atom

```
LaTl2Hg
1.0
4.803 0.000 0.000
0.000 4.803 0.000
0.000 0.000 9.254
La Tl Hg
2 4 2
Direct
0.000 0.000 0.000
0.500 0.500 0.500
0.000 0.000 0.500
0.000 0.500 0.250
0.500 0.000 0.750
0.500 0.500 0.000
0.000 0.500 0.750
0.500 0.000 0.250
```


(3)
A plane-wave DFT calculation with SCAN was carried out for a crystal of La2TlHg relaxed with PBEsol.

Summary:
Spin magnetization: 3.5 μB per cell
ΔE_f: -0.686 eV/atom

```
La2TlHg
1.0
7.754 0.000 0.000
0.000 7.754 0.000
0.000 0.000 7.754
La Tl Hg
8 4 4
Direct
0.250 0.250 0.250
0.250 0.250 0.750
0.250 0.750 0.250
0.250 0.750 0.750
0.750 0.250 0.250
0.750 0.250 0.750
0.750 0.750 0.250
0.750 0.750 0.750
0.000 0.000 0.000
0.000 0.500 0.500
0.500 0.000 0.500
0.500 0.500 0.000
0.000 0.000 0.500
0.000 0.500 0.000
0.500 0.000 0.000
0.500 0.500 0.500
```


(4)
A plane-wave DFT calculation with SCAN was carried out for a crystal of LaYTl2Hg relaxed with PBEsol.

Summary:
Spin magnetization: 0.0 μB per cell
ΔE_f: 0.009 eV/atom

```
LaYTl2Hg
1.0
5.568 0.000 0.000
0.000 5.568 0.000
0.000 0.000 5.443
La Y Tl Hg
1 1 2 1
Direct
0.000 0.000 0.000
0.500 0.500 0.500
0.000 0.500 0.500
0.500 0.000 0.500
0.500 0.500 0.000
```


(5)
A plane-wave DFT calculation with SCAN was carried out for a crystal of LaTl2ZnHg relaxed with PBEsol.

Summary:
Spin magnetization: 0.0 μB per cell
ΔE_f: -0.116 eV/atom

```
LaTl2ZnHg
1.0
5.181 0.000 0.000
0.000 5.181 0.000
0.000 0.000 4.972
La Tl Zn Hg
1 2 1 1
Direct
0.000 0.000 0.000
0.000 0.500 0.500
0.500 0.000 0.500
0.500 0.500 0.500
0.500 0.500 0.000
```


(6)
A plane-wave DFT calculation with SCAN was carried out for a crystal of LaHg2W relaxed with PBEsol.

Summary:
Spin magnetization: 0.0 μB per cell
Relative energy among the computed polymorphs: 35 meV/atom
ΔE_f: 0.394 eV/atom

```
LaHg2W
1.0
13.893 0.000 0.000
0.000 3.020 0.000
-1.681 0.000 4.557
La Hg W
2 4 2
Direct
0.000 0.000 0.000
0.500 0.500 0.000
0.123 0.500 0.622
0.308 0.500 0.310
0.623 0.000 0.622
0.808 0.000 0.310
0.304 0.000 0.807
0.804 0.500 0.807
```


(7)
A plane-wave DFT calculation with SCAN was carried out for a crystal of LaHg2W relaxed with PBEsol.

Summary:
Spin magnetization: 0.0 μB per cell
Relative energy among the computed polymorphs: 0 meV/atom
ΔE_f: 0.359 eV/atom

```
LaHg2W
1.0
3.048 0.000 0.000
0.000 4.194 0.000
0.000 0.000 6.738
La Hg W
1 2 1
Direct
0.000 0.000 0.000
0.500 0.500 0.291
0.500 0.500 0.709
0.000 0.000 0.500
```


(8)
A plane-wave DFT calculation with SCAN was carried out for a crystal of LaHg2W relaxed with PBEsol.

Summary:
Spin magnetization: 0.0 μB per cell
Relative energy among the computed polymorphs: 38 meV/atom
ΔE_f: 0.397 eV/atom

```
LaHg2W
1.0
2.982 0.000 0.000
0.000 2.982 0.000
0.000 0.000 9.282
La Hg W
1 2 1
Direct
0.000 0.000 0.000
0.500 0.500 0.277
0.500 0.500 0.723
0.000 0.000 0.500
```


(9)
A plane-wave DFT calculation with SCAN was carried out for a crystal of La2YHg relaxed with PBEsol.

Summary:
Spin magnetization: 1.3 μB per cell
ΔE_f: -0.322 eV/atom

```
La2YHg
1.0
3.751 0.000 0.000
0.000 3.751 0.000
0.000 0.000 8.767
La Y Hg
2 1 1
Direct
0.000 0.000 0.223
0.000 0.000 0.777
0.500 0.500 0.500
0.500 0.500 0.000
```


(10)
A plane-wave DFT calculation with SCAN was carried out for a crystal of LaY2Hg2 relaxed with PBEsol.

Summary:
Spin magnetization: 1.6 μB per cell
Relative energy among the computed polymorphs: 335 meV/atom
ΔE_f: -0.270 eV/atom

```
LaY2Hg2
1.0
4.677 0.000 0.000
0.000 4.677 0.000
0.000 0.000 13.614
La Y Hg
2 4 4
Direct
0.000 0.000 0.000
0.500 0.500 0.500
0.000 0.000 0.381
0.000 0.000 0.619
0.500 0.500 0.119
0.500 0.500 0.881
0.000 0.500 0.250
0.000 0.500 0.750
0.500 0.000 0.250
0.500 0.000 0.750
```


(11)
A plane-wave DFT calculation with SCAN was carried out for a crystal of LaY2Hg relaxed with PBEsol.

Summary:
Spin magnetization: 0.0 μB per cell
ΔE_f: -0.360 eV/atom

```
LaY2Hg
1.0
3.631 0.000 0.000
0.000 3.631 0.000
0.000 0.000 8.595
La Y Hg
1 2 1
Direct
0.000 0.000 0.000
0.500 0.500 0.287
0.500 0.500 0.713
0.000 0.000 0.500
```


(12)
A plane-wave DFT calculation with SCAN was carried out for a crystal of La3YHg relaxed with PBEsol.

Summary:
Spin magnetization: 1.1 μB per cell
ΔE_f: 0.132 eV/atom

```
La3YHg
1.0
5.863 0.000 0.000
0.000 5.863 0.000
0.000 0.000 5.863
La Y Hg
3 1 1
Direct
0.000 0.000 0.500
0.000 0.500 0.000
0.500 0.000 0.000
0.500 0.500 0.500
0.000 0.000 0.000
```


(13)
A plane-wave DFT calculation with SCAN was carried out for a crystal of LaY2Hg relaxed with PBEsol.

Summary:
Spin magnetization: 0.0 μB per cell
ΔE_f: -0.363 eV/atom

```
LaY2Hg
1.0
3.748 0.000 0.000
0.000 5.514 0.000
0.000 0.000 11.336
La Y Hg
2 4 2
Direct
0.000 0.000 0.000
0.500 0.500 0.500
0.000 0.500 0.218
0.000 0.500 0.782
0.500 0.000 0.282
0.500 0.000 0.718
0.000 0.000 0.500
0.500 0.500 0.000
```


(14)
A plane-wave DFT calculation with SCAN was carried out for a crystal of LaY2Hg2 relaxed with PBEsol.

Summary:
Spin magnetization: 0.0 μB per cell
Relative energy among the computed polymorphs: 0 meV/atom
ΔE_f: -0.605 eV/atom

```
LaY2Hg2
1.0
8.481 0.000 0.000
0.000 8.481 0.000
0.000 0.000 3.792
La Y Hg
2 4 4
Direct
0.000 0.000 0.000
0.500 0.500 0.000
0.166 0.334 0.500
0.334 0.834 0.500
0.666 0.166 0.500
0.834 0.666 0.500
0.130 0.630 0.000
0.370 0.130 0.000
0.630 0.870 0.000
0.870 0.370 0.000
```


(15)
A plane-wave DFT calculation with SCAN was carried out for a crystal of LaY2Hg relaxed with PBEsol.

Summary:
Spin magnetization: 0.1 μB per cell
ΔE_f: -0.346 eV/atom

```
LaY2Hg
1.0
3.633 0.000 0.000
0.000 3.633 0.000
0.000 0.000 8.855
La Y Hg
1 2 1
Direct
0.000 0.000 0.000
0.000 0.000 0.558
0.500 0.500 0.287
0.500 0.500 0.758
```


(16)
A plane-wave DFT calculation with SCAN was carried out for a crystal of LaYHg relaxed with PBEsol.

Summary:
Spin magnetization: 0.0 μB per cell
Relative energy among the computed polymorphs: 120 meV/atom
ΔE_f: -0.365 eV/atom

```
LaYHg
1.0
7.283 0.000 0.000
0.000 7.283 0.000
0.000 0.000 7.283
La Y Hg
4 4 4
Direct
0.000 0.000 0.000
0.000 0.500 0.500
0.500 0.000 0.500
0.500 0.500 0.000
0.000 0.000 0.500
0.000 0.500 0.000
0.500 0.000 0.000
0.500 0.500 0.500
0.250 0.250 0.250
0.250 0.750 0.750
0.750 0.250 0.750
0.750 0.750 0.250
```


(17)
A plane-wave DFT calculation with SCAN was carried out for a crystal of LaYHg relaxed with PBEsol.

Summary:
Spin magnetization: 2.1 μB per cell
Relative energy among the computed polymorphs: 0 meV/atom
ΔE_f: -0.485 eV/atom

```
LaYHg
1.0
3.670 0.000 0.000
0.000 3.670 0.000
0.000 0.000 12.773
La Y Hg
2 2 2
Direct
0.000 0.000 0.000
0.500 0.500 0.500
0.000 0.000 0.698
0.500 0.500 0.198
0.000 0.000 0.332
0.500 0.500 0.832
```


(18)
A plane-wave DFT calculation with SCAN was carried out for a crystal of LaY2Hg relaxed with PBEsol.

Summary:
Spin magnetization: 0.0 μB per cell
ΔE_f: -0.361 eV/atom

```
LaY2Hg
1.0
3.771 0.000 0.000
0.000 5.301 0.000
0.000 0.000 11.557
La Y Hg
2 4 2
Direct
0.000 0.000 0.000
0.500 0.500 0.500
0.000 0.000 0.564
0.000 0.500 0.782
0.500 0.000 0.282
0.500 0.500 0.064
0.000 0.500 0.269
0.500 0.000 0.769
```


(19)
A plane-wave DFT calculation with SCAN was carried out for a crystal of La2YHg relaxed with PBEsol.

Summary:
Spin magnetization: 0.0 μB per cell
ΔE_f: -0.296 eV/atom

```
La2YHg
1.0
3.692 0.000 0.000
0.000 4.604 0.000
0.000 0.000 6.960
La Y Hg
2 1 1
Direct
0.000 0.000 0.229
0.000 0.000 0.771
0.500 0.500 0.500
0.500 0.500 0.000
```


(20)
A plane-wave DFT calculation with SCAN was carried out for a crystal of LaY2Hg relaxed with PBEsol.

Summary:
Spin magnetization: 1.7 μB per cell
ΔE_f: -0.205 eV/atom

```
LaY2Hg
1.0
7.661 0.000 0.000
0.000 7.692 0.000
0.000 0.000 3.633
La Y Hg
2 4 2
Direct
0.000 0.000 0.000
0.500 0.500 0.000
0.250 0.250 0.500
0.250 0.750 0.500
0.750 0.250 0.500
0.750 0.750 0.500
0.000 0.500 0.000
0.500 0.000 0.000
```